[1]
## Ba6Na2NO (PBE)

Data for a geometry-optimized Ba6Na2NO structure.

Cell lengths 14.3702, 14.3702, 14.3702 Å; angles 33.83, 33.83, 33.83 degrees
Positions (direct):
Ba (0.1035, 0.1035, 0.6635)
Ba (0.1035, 0.6635, 0.1035)
Ba (0.2136, 0.7022, 0.7022)
Ba (0.2978, 0.2978, 0.7864)
Ba (0.2978, 0.7864, 0.2978)
Ba (0.3365, 0.8965, 0.8965)
Ba (0.6635, 0.1035, 0.1035)
Ba (0.7022, 0.2136, 0.7022)
Ba (0.7022, 0.7022, 0.2136)
Ba (0.7864, 0.2978, 0.2978)
Ba (0.8965, 0.3365, 0.8965)
Ba (0.8965, 0.8965, 0.3365)
Na (0.2090, 0.2090, 0.2090)
Na (0.3751, 0.3751, 0.3751)
Na (0.6249, 0.6249, 0.6249)
Na (0.7910, 0.7910, 0.7910)
N (0.0000, 0.0000, 0.0000)
N (0.5000, 0.5000, 0.5000)
O (0.0839, 0.0839, 0.0839)
O (0.9161, 0.9161, 0.9161)

Results
Raw formation energy, eV/atom: -0.577
ρ, Mg/m³: 3.65
V, Å³ per cell: 819.8
Energy, eV for the cell shown: -66.5

***

[2]
## Zn2TePt (PBE)

Data for a geometry-optimized Zn2TePt structure.

Cell lengths 7.3257, 7.3257, 7.3257 Å; angles 132.52, 132.52, 69.42 degrees
Positions (direct):
Zn (0.0986, 0.6250, 0.9736)
Zn (0.3750, 0.3486, 0.4736)
Zn (0.6514, 0.1250, 0.0264)
Zn (0.8750, 0.9014, 0.5264)
Te (0.2500, 0.7500, 0.5000)
Te (0.5000, 0.5000, 0.0000)
Pt (0.0000, 0.0000, 0.0000)
Pt (0.7500, 0.2500, 0.5000)

Results
Raw formation energy, eV/atom: -0.021
ρ, Mg/m³: 7.19
V, Å³ per cell: 209.6
Energy, eV for the cell shown: -23.6